No. 1
Entry from Alexandria: Ce5PuSiGe2 after structural relaxation (PBE).

Cell lengths 7.559, 7.559, 9.423 Å; angles 113.65, 113.65, 90.00 degrees
Site moments in Bohr magnetons follow the coordinates.
Fractional positions:
Ce  0.323  0.823  0.277  0.57
Ce  0.454  0.323  0.277  0.57
Ce  0.177  0.046  0.723  0.57
Ce  0.677  0.177  0.723  0.57
Ce  0.954  0.454  0.277  0.57
Ce  0.500  0.500  0.000  0.62
Ce  0.546  0.677  0.723  0.57
Ce  0.046  0.546  0.723  0.57
Ce  0.000  0.000  0.000  0.62
Ce  0.823  0.954  0.277  0.57
Ge  0.380  0.880  0.000  0.00
Ge  0.620  0.120  0.000  0.00
Ge  0.880  0.620  0.000  0.00
Ge  0.120  0.380  0.000  0.00
Si  0.750  0.750  0.500  -0.03
Si  0.250  0.250  0.500  -0.03
Pu  0.250  0.750  0.500  5.35
Pu  0.750  0.250  0.500  5.35

Values from the calculation:
Theoretical density: 8374 kg/m3
Size of the total moment: 1.001 μB/atom
N(E_F): 2.197 states/eV per atom
Energy relative to the elements, uncorrected: -0.37 eV per atom

---

No. 2
Entry from Alexandria: Ce2Pu2SiGe4 after structural relaxation (PBE).

Cell lengths 6.530, 6.530, 6.530 Å; angles 99.25, 114.81, 114.81 degrees
Site moments in Bohr magnetons follow the coordinates.
Fractional positions:
Ce  0.500  0.250  0.750  0.85
Ce  0.500  0.750  0.250  0.85
Si  0.000  0.000  0.000  0.01
Ge  0.488  0.244  0.244  -0.03
Ge  0.000  0.244  0.756  -0.03
Ge  0.512  0.756  0.756  -0.03
Ge  0.000  0.756  0.244  -0.03
Pu  0.000  0.680  0.680  5.43
Pu  0.000  0.320  0.320  5.43

Values from the calculation:
Theoretical density: 8622 kg/m3
Size of the total moment: 1.505 μB/atom
N(E_F): 2.474 states/eV per atom
Energy relative to the elements, uncorrected: -0.26 eV per atom

---

No. 3
Entry from Alexandria: Ce2Pu2SnGe after structural relaxation (PBE).

Cell lengths 4.937, 4.937, 6.922 Å; angles 90.00, 90.00, 120.00 degrees
Site moments in Bohr magnetons follow the coordinates.
Fractional positions:
Ce  0.667  0.333  0.210  1.06
Ce  0.333  0.667  0.790  1.06
Sn  0.000  0.000  0.000  -0.08
Ge  0.000  0.000  0.500  -0.06
Pu  0.333  0.667  0.332  5.57
Pu  0.667  0.333  0.668  5.57

Values from the calculation:
Theoretical density: 10906 kg/m3
Formation energy from the elements: -336 meV/atom
Size of the total moment: 2.359 μB/atom
N(E_F): 1.455 states/eV per atom

---

Please write out number 1 again, unchanged.
Entry from Alexandria: Ce5PuSiGe2 after structural relaxation (PBE).

Cell lengths 7.559, 7.559, 9.423 Å; angles 113.65, 113.65, 90.00 degrees
Site moments in Bohr magnetons follow the coordinates.
Fractional positions:
Ce  0.323  0.823  0.277  0.57
Ce  0.454  0.323  0.277  0.57
Ce  0.177  0.046  0.723  0.57
Ce  0.677  0.177  0.723  0.57
Ce  0.954  0.454  0.277  0.57
Ce  0.500  0.500  0.000  0.62
Ce  0.546  0.677  0.723  0.57
Ce  0.046  0.546  0.723  0.57
Ce  0.000  0.000  0.000  0.62
Ce  0.823  0.954  0.277  0.57
Ge  0.380  0.880  0.000  0.00
Ge  0.620  0.120  0.000  0.00
Ge  0.880  0.620  0.000  0.00
Ge  0.120  0.380  0.000  0.00
Si  0.750  0.750  0.500  -0.03
Si  0.250  0.250  0.500  -0.03
Pu  0.250  0.750  0.500  5.35
Pu  0.750  0.250  0.500  5.35

Values from the calculation:
Theoretical density: 8374 kg/m3
Size of the total moment: 1.001 μB/atom
N(E_F): 2.197 states/eV per atom
Energy relative to the elements, uncorrected: -0.37 eV per atom

---

Please write out number 3 again, unchanged.
Entry from Alexandria: Ce2Pu2SnGe after structural relaxation (PBE).

Cell lengths 4.937, 4.937, 6.922 Å; angles 90.00, 90.00, 120.00 degrees
Site moments in Bohr magnetons follow the coordinates.
Fractional positions:
Ce  0.667  0.333  0.210  1.06
Ce  0.333  0.667  0.790  1.06
Sn  0.000  0.000  0.000  -0.08
Ge  0.000  0.000  0.500  -0.06
Pu  0.333  0.667  0.332  5.57
Pu  0.667  0.333  0.668  5.57

Values from the calculation:
Theoretical density: 10906 kg/m3
Formation energy from the elements: -336 meV/atom
Size of the total moment: 2.359 μB/atom
N(E_F): 1.455 states/eV per atom

---

Please write out number 2 again, unchanged.
Entry from Alexandria: Ce2Pu2SiGe4 after structural relaxation (PBE).

Cell lengths 6.530, 6.530, 6.530 Å; angles 99.25, 114.81, 114.81 degrees
Site moments in Bohr magnetons follow the coordinates.
Fractional positions:
Ce  0.500  0.250  0.750  0.85
Ce  0.500  0.750  0.250  0.85
Si  0.000  0.000  0.000  0.01
Ge  0.488  0.244  0.244  -0.03
Ge  0.000  0.244  0.756  -0.03
Ge  0.512  0.756  0.756  -0.03
Ge  0.000  0.756  0.244  -0.03
Pu  0.000  0.680  0.680  5.43
Pu  0.000  0.320  0.320  5.43

Values from the calculation:
Theoretical density: 8622 kg/m3
Size of the total moment: 1.505 μB/atom
N(E_F): 2.474 states/eV per atom
Energy relative to the elements, uncorrected: -0.26 eV per atom